# 1
PBE KCaCu, relaxed; crystal system = tetragonal; density of states at the Fermi level = 2.1 states/eV/cell; ΔE_f = 162 meV per atom; space-group type = I4mm, No. 107
1.0
-1.906 1.906 7.312
1.906 -1.906 7.312
1.906 1.906 -7.312
K Ca Cu
1 1 1
direct
0.000 0.000 0.000
0.744 0.744 0.000
0.336 0.336 0.000

# 2
PBE SrHfSN2, relaxed; crystal system = tetragonal; density of states at the Fermi level = 3.2 states/eV/cell; uncorrected formation energy = -0.822 eV per atom; offset from the most stable computed form = 0 kJ/mol of formula units; space-group type = P4/mmm, No. 123
1.0
4.228 0.000 0.000
0.000 4.228 0.000
0.000 0.000 5.139
Sr Hf S N
1 1 1 2
direct
0.000 0.000 0.000
0.500 0.500 0.500
0.500 0.500 0.000
0.000 0.500 0.500
0.500 0.000 0.500

# 3
PBE CrAg2Cl, relaxed; crystal system = orthorhombic; density of states at the Fermi level = 1.6 states/eV/cell; uncorrected formation energy = 0.117 eV per atom; offset from the most stable computed form = 21 kJ/mol of formula units; space-group type = Imm2, No. 44
1.0
-1.523 2.303 6.314
1.523 -2.303 6.314
1.523 2.303 -6.314
Cr Ag Cl
1 2 1
direct
0.000 0.000 0.000
0.190 0.690 0.500
0.569 0.569 0.000
0.858 0.358 0.500

# 4
PBE Fe2HgRu, relaxed; crystal system = orthorhombic; density of states at the Fermi level = 4.0 states/eV/cell; ΔE_f = 347 meV per atom; space-group type = Pmmm, No. 47
1.0
2.848 0.000 0.000
0.000 3.659 0.000
0.000 0.000 5.698
Fe Hg Ru
2 1 1
direct
0.000 0.000 0.208
0.000 0.000 0.792
0.500 0.500 0.500
0.500 0.500 0.000

# 5
PBE Ba4OF5, relaxed; crystal system = orthorhombic; density of states at the Fermi level = 3.4 states/eV/cell; uncorrected formation energy = -3.251 eV per atom; space-group type = Immm, No. 71
1.0
-2.068 3.717 7.528
2.068 -3.717 7.528
2.068 3.717 -7.528
Ba O F
4 1 5
direct
0.201 0.201 0.000
0.247 0.500 0.747
0.753 0.500 0.253
0.799 0.799 0.000
0.000 0.000 0.000
0.052 0.322 0.729
0.407 0.678 0.729
0.500 0.000 0.500
0.593 0.322 0.271
0.948 0.678 0.271

# 6
PBE Nd3InH, relaxed; crystal system = cubic; density of states at the Fermi level = 7.3 states/eV/cell; offset from the most stable computed form = 0 kJ/mol of formula units; space-group type = Pm-3m, No. 221
1.0
5.017 0.000 0.000
0.000 5.017 0.000
0.000 0.000 5.017
Nd In H
3 1 1
direct
0.000 0.000 0.500
0.000 0.500 0.000
0.500 0.000 0.000
0.500 0.500 0.500
0.000 0.000 0.000

# 7
PBE CaFe2Rh, relaxed; crystal system = tetragonal; density of states at the Fermi level = 4.5 states/eV/cell; ΔE_f = 140 meV per atom; space-group type = P4mm, No. 99
1.0
3.110 0.000 0.000
0.000 3.110 0.000
0.000 0.000 6.833
Ca Fe Rh
1 2 1
direct
0.000 0.000 0.000
0.000 0.000 0.493
0.500 0.500 0.323
0.500 0.500 0.702

# 8
PBE SrLa2Ir2, relaxed; crystal system = tetragonal; density of states at the Fermi level = 2.7 states/eV/cell; ΔE_f = -359 meV per atom; offset from the most stable computed form = 62 kJ/mol of formula units; space-group type = P4/mbm, No. 127
1.0
8.597 0.000 0.000
0.000 8.597 0.000
0.000 0.000 3.407
Sr La Ir
2 4 4
direct
0.000 0.000 0.000
0.500 0.500 0.000
0.139 0.361 0.000
0.361 0.861 0.000
0.639 0.139 0.000
0.861 0.639 0.000
0.162 0.662 0.500
0.338 0.162 0.500
0.662 0.838 0.500
0.838 0.338 0.500

Q: Among the records above, which one has the lowest density of states at the Fermi level?
A: CrAg2Cl